Material: SrCrSi4O10
Method: DFT, PBE with a Hubbard U
State: relaxed

a = 7.5550 Å, b = 7.5550 Å, c = 15.8589 Å
α = 90.00°, β = 90.00°, γ = 90.00°
Closest atoms and distances in Å follow each position.
Sites, in units of the cell vectors:
O  0.2526  0.0400  0.3675  2 Si 1.65
O  0.4600  0.2474  0.8675  2 Si 1.65
O  0.3820  0.2424  0.0866  1 Si 1.60
O  0.7424  0.1180  0.0866  1 Si 1.60
O  0.2424  0.6180  0.9134  1 Si 1.60
O  0.2122  0.7878  0.2500  2 Si 1.63
O  0.3820  0.7576  0.5866  1 Si 1.60
O  0.7576  0.6180  0.4134  1 Si 1.60
O  0.2878  0.2878  0.2500  2 Si 1.63
O  0.9600  0.2526  0.6325  2 Si 1.65
O  0.7526  0.5400  0.6325  2 Si 1.65
O  0.7576  0.3820  0.9134  1 Si 1.60
O  0.2576  0.8820  0.0866  1 Si 1.60
O  0.2474  0.4600  0.6325  2 Si 1.65
O  0.5400  0.7526  0.8675  2 Si 1.65
O  0.9600  0.7474  0.1325  2 Si 1.65
O  0.2122  0.2122  0.7500  2 Si 1.63
O  0.7122  0.7122  0.2500  2 Si 1.63
O  0.7878  0.2122  0.2500  2 Si 1.63
O  0.2474  0.5400  0.1325  2 Si 1.65
O  0.7526  0.4600  0.1325  2 Si 1.65
O  0.1180  0.7424  0.4134  1 Si 1.60
O  0.0400  0.7474  0.6325  2 Si 1.65
O  0.6180  0.2424  0.5866  1 Si 1.60
O  0.7878  0.7878  0.7500  2 Si 1.63
O  0.2576  0.1180  0.5866  1 Si 1.60
O  0.6180  0.7576  0.0866  1 Si 1.60
O  0.1180  0.2576  0.9134  1 Si 1.60
O  0.8820  0.7424  0.9134  1 Si 1.60
O  0.7474  0.9600  0.3675  2 Si 1.65
O  0.0400  0.2526  0.1325  2 Si 1.65
O  0.2526  0.9600  0.8675  2 Si 1.65
O  0.2878  0.7122  0.7500  2 Si 1.63
O  0.7424  0.8820  0.5866  1 Si 1.60
O  0.8820  0.2576  0.4134  1 Si 1.60
O  0.4600  0.7526  0.3675  2 Si 1.65
O  0.7474  0.0400  0.8675  2 Si 1.65
O  0.2424  0.3820  0.4134  1 Si 1.60
O  0.7122  0.2878  0.7500  2 Si 1.63
O  0.5400  0.2474  0.3675  2 Si 1.65
Si  0.1751  0.7417  0.1515  4 O 1.60-1.65
Si  0.6751  0.7583  0.3485  4 O 1.60-1.65
Si  0.2583  0.1751  0.8485  4 O 1.60-1.65
Si  0.7583  0.3249  0.6515  4 O 1.60-1.65
Si  0.2583  0.8249  0.3485  4 O 1.60-1.65
Si  0.3249  0.2417  0.3485  4 O 1.60-1.65
Si  0.8249  0.2583  0.1515  4 O 1.60-1.65
Si  0.8249  0.7417  0.6515  4 O 1.60-1.65
Si  0.7583  0.6751  0.1515  4 O 1.60-1.65
Si  0.6751  0.2417  0.8485  4 O 1.60-1.65
Si  0.3249  0.7583  0.8485  4 O 1.60-1.65
Si  0.7417  0.1751  0.3485  4 O 1.60-1.65
Si  0.2417  0.3249  0.1515  4 O 1.60-1.65
Si  0.1751  0.2583  0.6515  4 O 1.60-1.65
Si  0.2417  0.6751  0.6515  4 O 1.60-1.65
Si  0.7417  0.8249  0.8485  4 O 1.60-1.65
Sr  0.0000  0.0000  0.0000  4 O 2.54
Sr  0.5000  0.5000  0.5000  4 O 2.54
Sr  0.0000  0.0000  0.5000  4 O 2.54
Sr  0.5000  0.5000  0.0000  4 O 2.54
Cr  0.5000  0.0000  0.5876  4 O 2.04
Cr  0.5000  0.0000  0.0876  4 O 2.04
Cr  0.0000  0.5000  0.9124  4 O 2.04
Cr  0.0000  0.5000  0.4124  4 O 2.04

Output
space group	P4/ncc (130)
electronic total energy	-7.769	eV/atom
calculated density	3.02	g/cm3
D(E_F)	0.00	states/eV/f.u.